DFT (GGA-PBE) results for a geometry-optimized MnV structure.

Lattice parameters (Å, degrees): 5.3823 5.3823 5.3823 98.50 98.50 134.79
Atoms (fractional coordinates):
Mn  0.1408  0.8206  0.9614
Mn  0.1794  0.1408  0.3203
Mn  0.8206  0.8592  0.6797
Mn  0.8592  0.1794  0.0386
V  0.1909  0.4837  0.6746
V  0.4837  0.8091  0.2928
V  0.5163  0.1909  0.7072
V  0.8091  0.5163  0.3254

## Properties
E   -17.99 eV/f.u.
ΔH_f (0 K)   0.30 eV/f.u.